Below is an optimized crystal structure of NiS2ClF, with properties calculated at the PBE+U level.

Summary:
Excess energy over the best structure of this formula in the dataset   72.0 meV/atom
Volume   19.84 Å³ per atom
Crystal system   tetragonal
Space-group type   P4/mmm (123)
Spin magnetization   1.7 μB per formula unit

a b c (Å): 4.037 4.037 6.086
angles (deg): 90.00 90.00 90.00
Fractional coordinates of all 5 atoms:
1 Ni 0.000 0.000 0.000
2 S 0.000 0.500 0.500
3 S 0.500 0.000 0.500
4 Cl 0.500 0.500 0.000
5 F 0.500 0.500 0.500